Entry from Alexandria via LeMat-Bulk: AcSmYMg after structural relaxation (PBE-GGA).

Unit cell a=3.8326 b=3.8326 c=9.0468 alpha=90.00 beta=90.00 gamma=90.00
Fractional coordinates of all 4 atoms:
1 Ac 0.0000 0.0000 0.0000
2 Sm 0.5000 0.5000 0.2918
3 Y 0.5000 0.5000 0.7114
4 Mg 0.0000 0.0000 0.5067

* calculated formation energy: -0.02 eV per atom
* raw total energy: -4.244 eV per atom
* total magnetization: 0.00 μB/f.u.
* space group: P4mm